{
  "formula": "BeBiN2F",
  "functional": "SCAN",
  "state": "single point on PBEsol structure",
  "space_group": "No. 123",
  "e_form_raw_mev_per_atom": -9.0,
  "mass_density_g_cm3": 8.82,
  "lattice_angstrom": [[3.702, 0.000, 0.000], [0.000, 3.702, 0.000], [0.000, 0.000, 3.642]],
  "species": ["Be", "Bi", "N", "N", "F"],
  "fractional_positions": [[0.000, 0.000, 0.000], [0.500, 0.500, 0.500], [0.000, 0.500, 0.000], [0.500, 0.000, 0.000], [0.000, 0.000, 0.500]]
}

{
  "formula": "Ta2HgMo",
  "functional": "SCAN",
  "state": "single point on PBEsol structure",
  "space_group": "No. 35",
  "formation_enthalpy_0k_ev_per_fu": 0.72,
  "mass_density_g_cm3": 15.62,
  "lattice_angstrom": [[1.673, -2.267, 0.000], [1.673, 2.267, 0.000], [0.000, 0.000, 9.224]],
  "species": ["Ta", "Ta", "Hg", "Mo"],
  "fractional_positions": [[0.000, 0.000, 0.000], [0.500, 0.500, 0.248], [0.000, 0.000, 0.511], [0.500, 0.500, 0.766]]
}

{
  "formula": "DyAlCu",
  "functional": "SCAN",
  "state": "single point on PBEsol structure",
  "space_group": "No. 74",
  "formation_enthalpy_0k_ev_per_fu": -1.33,
  "mass_density_g_cm3": 7.61,
  "lattice_angstrom": [[-2.714, 2.719, 3.742], [2.714, -2.719, 3.742], [2.714, 2.719, -3.742]],
  "species": ["Dy", "Dy", "Al", "Al", "Cu", "Cu"],
  "fractional_positions": [[0.377, 0.127, 0.250], [0.623, 0.873, 0.750], [0.000, 0.000, 0.500], [0.000, 0.500, 0.000], [0.000, 0.500, 0.500], [0.500, 0.500, 0.000]]
}

{
  "formula": "LiLaO3",
  "functional": "SCAN",
  "state": "single point on PBEsol structure",
  "space_group": "No. 221",
  "e_form_raw_mev_per_atom": -2221.5,
  "mass_density_g_cm3": 6.08,
  "lattice_angstrom": [[3.755, 0.000, 0.000], [0.000, 3.755, 0.000], [0.000, 0.000, 3.755]],
  "species": ["Li", "La", "O", "O", "O"],
  "fractional_positions": [[0.000, 0.000, 0.000], [0.500, 0.500, 0.500], [0.000, 0.000, 0.500], [0.000, 0.500, 0.000], [0.500, 0.000, 0.000]]
}

{
  "formula": "CdP2O2",
  "functional": "SCAN",
  "state": "single point on PBEsol structure",
  "space_group": "No. 123",
  "e_form_raw_mev_per_atom": 826.9,
  "mass_density_g_cm3": 4.30,
  "lattice_angstrom": [[3.947, 0.000, 0.000], [0.000, 3.947, 0.000], [0.000, 0.000, 5.116]],
  "species": ["Cd", "P", "P", "O", "O"],
  "fractional_positions": [[0.000, 0.000, 0.000], [0.000, 0.000, 0.500], [0.500, 0.500, 0.500], [0.000, 0.500, 0.000], [0.500, 0.000, 0.000]]
}

{
  "formula": "SiSbTe2C",
  "functional": "SCAN",
  "state": "single point on PBEsol structure",
  "space_group": "No. 123",
  "e_form_raw_mev_per_atom": 1265.1,
  "mass_density_g_cm3": 6.62,
  "lattice_angstrom": [[4.718, 0.000, 0.000], [0.000, 4.718, 0.000], [0.000, 0.000, 4.701]],
  "species": ["Si", "Sb", "Te", "Te", "C"],
  "fractional_positions": [[0.000, 0.000, 0.000], [0.500, 0.500, 0.000], [0.000, 0.500, 0.500], [0.500, 0.000, 0.500], [0.500, 0.500, 0.500]]
}